The following is a PBE+U calculation of CrFeNi2O6 after structural relaxation, from Alexandria via LeMat-Bulk.

abc: 4.589 5.284 5.284
angles: 90.00 90.00 90.00
Each line ends with the local moment (μB).
Element x y z (fractional)
Cr1 0.622 0.000 0.000  1.52
Fe1 0.593 0.500 0.500  4.08
Ni1 0.850 0.500 0.000  0.01
Ni2 0.850 0.000 0.500  0.01
O1 0.760 0.240 0.240  0.01
O2 0.760 0.240 0.760  0.01
O3 0.217 0.500 0.500  0.39
O4 0.275 0.000 0.000  -0.20
O5 0.760 0.760 0.760  0.01
O6 0.760 0.760 0.240  0.01

Properties
V in A^3/atom: 12.82
Total DFT energy (no corrections) in eV per atom: -5.64
Magnetic moment in μB per atom: 0.600